No. 1
Here is an optimized crystal structure of Sc2GeRh5 from Alexandria. Energies are from PBE.

D(E_F)   5.9 states/eV/f.u.
Uncorrected energy   -121.068 eV/cell

abc: 5.502 10.792 4.086
angles: 90.00 90.00 90.00
Space group Pbam (No. 55)
Asymmetric unit:
Sc (0.175, 0.140, 0.000) x4
Ge (0.000, 0.500, 0.500) x2
Rh (0.000, 0.000, 0.500) x2
Rh (0.074, 0.745, 0.500) x4
Rh (0.181, 0.393, 0.000) x4

No. 2
Here is an optimized crystal structure of ScGe2Rh2 from Alexandria. Energies are from PBE.

D(E_F)   2.4 states/eV/f.u.
Uncorrected energy   -132.143 eV/cell

abc: 8.478 9.976 5.678
angles: 90.00 131.89 90.00
Space group C2/c (No. 15)
Asymmetric unit:
Sc (0.000, 0.091, 0.250) x4
Ge (0.000, 0.212, 0.750) x4
Ge (0.000, 0.372, 0.250) x4
Rh (0.191, 0.423, 0.085) x8

No. 3
Here is an optimized crystal structure of ScGeRh4 from Alexandria. Energies are from PBE.

D(E_F)   7.2 states/eV/f.u.
Uncorrected energy   -41.790 eV/cell

abc: 4.107 4.107 6.078
angles: 90.00 90.00 90.00
Space group P4/mmm (No. 123)
Asymmetric unit:
Sc (0.000, 0.000, 0.000) x1
Ge (0.500, 0.500, 0.500) x1
Rh (0.000, 0.500, 0.266) x4

No. 4
Here is an optimized crystal structure of Sc3GeRh4 from Alexandria. Energies are from PBE.

D(E_F)   2.6 states/eV/f.u.
Uncorrected energy   -60.480 eV/cell

abc: 4.480 4.480 6.381
angles: 90.00 90.00 90.00
Space group P4/mmm (No. 123)
Asymmetric unit:
Sc (0.000, 0.000, 0.000) x1
Sc (0.000, 0.000, 0.500) x1
Sc (0.500, 0.500, 0.000) x1
Ge (0.500, 0.500, 0.500) x1
Rh (0.000, 0.500, 0.254) x4

No. 5
Here is an optimized crystal structure of ScGe3Rh from Alexandria. Energies are from PBE.

D(E_F)   3.6 states/eV/f.u.
Uncorrected energy   -26.897 eV/cell

abc: 4.783 4.783 4.783
angles: 90.00 90.00 90.00
Space group Pm-3m (No. 221)
Asymmetric unit:
Sc (0.000, 0.000, 0.000) x1
Ge (0.000, 0.500, 0.500) x3
Rh (0.500, 0.500, 0.500) x1

No. 6
Here is an optimized crystal structure of ScGeRh from Alexandria. Energies are from PBE.

D(E_F)   1.5 states/eV/f.u.
Uncorrected energy   -20.980 eV/cell

abc: 4.3377 4.3377 3.0961
angles: 90.00 90.00 120.00
Space group P-6m2 (No. 187)
Asymmetric unit:
Sc (0.0000, 0.0000, 0.0000) x1
Ge (0.3333, 0.6667, 0.5000) x1
Rh (0.6667, 0.3333, 0.5000) x1

No. 7
Here is an optimized crystal structure of Sc2GeRh from Alexandria. Energies are from PBE.

D(E_F)   1.6 states/eV/f.u.
Uncorrected energy   -27.973 eV/cell

abc: 4.478 4.478 3.543
angles: 90.00 90.00 90.00
Space group P4/mmm (No. 123)
Asymmetric unit:
Sc (0.000, 0.500, 0.000) x2
Ge (0.000, 0.000, 0.500) x1
Rh (0.500, 0.500, 0.500) x1

No. 8
Here is an optimized crystal structure of ScGeRh from Alexandria. Energies are from PBE.

D(E_F)   1.3 states/eV/f.u.
Uncorrected energy   -85.093 eV/cell

abc: 6.549 4.151 7.468
angles: 90.00 90.00 90.00
Space group Pnma (No. 62)
Asymmetric unit:
Sc (0.014, 0.250, 0.195) x4
Ge (0.224, 0.750, 0.386) x4
Rh (0.157, 0.250, 0.562) x4